(1)
Material: Li2CoP2
Method: DFT, GGA-PBEsol
State: relaxed

a = 4.088 Å, b = 5.594 Å, c = 5.594 Å
α = 90.00°, β = 90.00°, γ = 90.00°
Sites, in units of the cell vectors:
P1 0.000 0.360 0.860
P2 0.000 0.860 0.640
P3 0.000 0.640 0.140
P4 0.000 0.140 0.360
Co1 0.000 0.000 0.000
Co2 0.000 0.500 0.500
Li1 0.500 0.176 0.676
Li2 0.500 0.676 0.824
Li3 0.500 0.824 0.324
Li4 0.500 0.324 0.176

- Space-group type: P4/mbm (127)
- DFT formation energy: -0.692 eV per atom
- Crystal system: tetragonal

---

(2)
Material: Li3CoPb
Method: DFT, GGA-PBEsol
State: relaxed

a = 4.991 Å, b = 4.991 Å, c = 4.991 Å
α = 90.00°, β = 90.00°, γ = 90.00°
Each line ends with the local moment (μB).
Sites, in units of the cell vectors:
Pb1 0.000 0.000 0.000  0.14
Co1 0.500 0.500 0.500  2.21
Li1 0.000 0.500 0.000  0.01
Li2 0.000 0.000 0.500  0.01
Li3 0.500 0.000 0.000  0.01

- Space-group type: Pm-3m (221)
- DFT formation energy: 0.897 eV per atom
- Crystal system: cubic

---

(3)
Material: LiCo2Pb
Method: DFT, GGA-PBEsol
State: relaxed

a = 4.249 Å, b = 4.249 Å, c = 4.249 Å
α = 60.00°, β = 60.00°, γ = 60.00°
Each line ends with the local moment (μB).
Sites, in units of the cell vectors:
Co1 0.000 0.000 0.000  1.18
Co2 0.750 0.750 0.750  1.61
Li1 0.500 0.500 0.500  0.00
Pb1 0.250 0.250 0.250  -0.02

- Space-group type: F-43m (216)
- DFT formation energy: 0.237 eV per atom
- Crystal system: cubic

---

(4)
Material: LiCo3Pd
Method: DFT, GGA-PBEsol
State: relaxed

a = 3.849 Å, b = 3.849 Å, c = 3.849 Å
α = 90.00°, β = 90.00°, γ = 90.00°
Each line ends with the local moment (μB).
Sites, in units of the cell vectors:
Co1 0.000 0.500 0.000  1.63
Co2 0.000 0.000 0.500  1.63
Co3 0.500 0.000 0.000  1.63
Pd1 0.500 0.500 0.500  0.27
Li1 0.000 0.000 0.000  -0.09

- Space-group type: Pm-3m (221)
- DFT formation energy: 0.894 eV per atom
- Crystal system: cubic

---

(5)
Material: LiCo2Pt
Method: DFT, GGA-PBEsol
State: relaxed

a = 2.652 Å, b = 4.280 Å, c = 4.280 Å
α = 90.00°, β = 90.00°, γ = 90.00°
Each line ends with the local moment (μB).
Sites, in units of the cell vectors:
Co1 0.000 0.000 0.500  1.59
Co2 0.000 0.500 0.000  1.59
Li1 0.500 0.500 0.500  -0.02
Pt1 0.500 0.000 0.000  0.30

- Space-group type: P4/mmm (123)
- DFT formation energy: 0.084 eV per atom
- Crystal system: tetragonal

---

(6)
Material: LiCo2Pt
Method: DFT, GGA-PBEsol
State: relaxed

a = 2.739 Å, b = 4.243 Å, c = 4.819 Å
α = 116.12°, β = 106.51°, γ = 90.00°
Each line ends with the local moment (μB).
Sites, in units of the cell vectors:
Co1 0.014 0.014 0.028  1.75
Co2 0.741 0.241 0.482  1.62
Li1 0.492 0.492 0.984  -0.02
Pt1 0.253 0.753 0.506  0.28

- Space-group type: Imm2 (44)
- DFT formation energy: 0.003 eV per atom
- Crystal system: orthorhombic

---

(7)
Material: LiCoPt2
Method: DFT, GGA-PBEsol
State: relaxed

a = 2.691 Å, b = 2.691 Å, c = 7.276 Å
α = 90.00°, β = 90.00°, γ = 90.00°
Each line ends with the local moment (μB).
Sites, in units of the cell vectors:
Co1 0.500 0.500 0.000  1.91
Pt1 0.000 0.000 0.759  0.28
Pt2 0.000 0.000 0.241  0.28
Li1 0.500 0.500 0.500  -0.01

- Space-group type: P4/mmm (123)
- DFT formation energy: -0.251 eV per atom
- Crystal system: tetragonal

---

(8)
Material: LiCoPt2
Method: DFT, GGA-PBEsol
State: relaxed

a = 2.659 Å, b = 4.447 Å, c = 4.447 Å
α = 105.22°, β = 90.00°, γ = 90.00°
Each line ends with the local moment (μB).
Sites, in units of the cell vectors:
Co1 0.500 0.000 0.000  1.26
Pt1 0.000 0.500 0.000  0.11
Pt2 0.000 0.000 0.500  0.11
Li1 0.500 0.500 0.500  -0.01

- Space-group type: Cmmm (65)
- DFT formation energy: -0.285 eV per atom
- Crystal system: orthorhombic

---

(9)
Material: LiCo2Pt
Method: DFT, GGA-PBEsol
State: relaxed

a = 2.601 Å, b = 2.601 Å, c = 7.380 Å
α = 90.00°, β = 90.00°, γ = 90.00°
Each line ends with the local moment (μB).
Sites, in units of the cell vectors:
Co1 0.000 0.000 0.749  1.68
Co2 0.000 0.000 0.251  1.68
Li1 0.500 0.500 0.000  -0.03
Pt1 0.500 0.500 0.500  0.33

- Space-group type: P4/mmm (123)
- DFT formation energy: 0.188 eV per atom
- Crystal system: tetragonal

---

(10)
Material: LiCo2Pt
Method: DFT, GGA-PBEsol
State: relaxed

a = 2.771 Å, b = 3.947 Å, c = 4.247 Å
α = 90.00°, β = 90.00°, γ = 90.00°
Each line ends with the local moment (μB).
Sites, in units of the cell vectors:
Co1 0.000 0.000 0.000  1.77
Co2 0.500 0.500 0.000  1.71
Li1 0.500 0.000 0.500  -0.01
Pt1 0.000 0.500 0.500  0.21

- Space-group type: Pmmm (47)
- DFT formation energy: -0.038 eV per atom
- Crystal system: orthorhombic

---

(11)
Material: LiCo2Pt
Method: DFT, GGA-PBEsol
State: relaxed

a = 3.468 Å, b = 3.468 Å, c = 4.593 Å
α = 112.18°, β = 112.18°, γ = 90.00°
Each line ends with the local moment (μB).
Sites, in units of the cell vectors:
Co1 0.750 0.250 0.500  1.74
Co2 0.250 0.750 0.500  1.74
Li1 0.500 0.500 0.000  -0.02
Pt1 0.000 0.000 0.000  0.24

- Space-group type: I4/mmm (139)
- DFT formation energy: -0.020 eV per atom
- Crystal system: tetragonal

---

(12)
Material: Li2CoRe
Method: DFT, GGA-PBEsol
State: relaxed

a = 2.473 Å, b = 4.382 Å, c = 4.673 Å
α = 90.00°, β = 90.00°, γ = 90.00°
Each line ends with the local moment (μB).
Sites, in units of the cell vectors:
Co1 0.500 0.500 0.500  0.67
Li1 0.000 0.000 0.748  0.00
Li2 0.000 0.000 0.252  0.00
Re1 0.500 0.500 0.000  0.04

- Polymorph energy (0 for the lowest one): 0.67 eV per formula unit
- Space-group type: Pmmm (47)
- DFT formation energy: 0.417 eV per atom
- Crystal system: orthorhombic

---

(13)
Material: LiCoRe2
Method: DFT, GGA-PBEsol
State: relaxed

a = 2.568 Å, b = 4.105 Å, c = 4.791 Å
α = 90.00°, β = 98.29°, γ = 90.00°
Sites, in units of the cell vectors:
Co1 0.394 0.000 0.516
Li1 0.345 0.500 0.747
Re1 0.986 0.000 0.979
Re2 0.775 0.500 0.258

- Space-group type: Pm (6)
- DFT formation energy: 0.201 eV per atom
- Crystal system: monoclinic

---

(14)
Material: Li2CoRe
Method: DFT, GGA-PBEsol
State: relaxed

a = 4.015 Å, b = 4.015 Å, c = 4.015 Å
α = 60.00°, β = 60.00°, γ = 60.00°
Each line ends with the local moment (μB).
Sites, in units of the cell vectors:
Co1 0.000 0.000 0.000  1.43
Li1 0.250 0.250 0.250  0.00
Li2 0.750 0.750 0.750  0.00
Re1 0.500 0.500 0.500  1.33

- Polymorph energy (0 for the lowest one): 2.73 eV per formula unit
- Space-group type: Fm-3m (225)
- DFT formation energy: 0.932 eV per atom
- Crystal system: cubic

---

(15)
Material: Li2CoRe
Method: DFT, GGA-PBEsol
State: relaxed

a = 3.347 Å, b = 3.347 Å, c = 5.034 Å
α = 109.42°, β = 109.42°, γ = 90.00°
Sites, in units of the cell vectors:
Co1 0.000 0.000 0.000
Li1 0.750 0.250 0.500
Li2 0.250 0.750 0.500
Re1 0.500 0.500 0.000

- Polymorph energy (0 for the lowest one): 0.83 eV per formula unit
- Space-group type: I4/mmm (139)
- DFT formation energy: 0.458 eV per atom
- Crystal system: tetragonal

---

(16)
Material: Li2CoRe
Method: DFT, GGA-PBEsol
State: relaxed

a = 3.997 Å, b = 3.997 Å, c = 3.997 Å
α = 60.00°, β = 60.00°, γ = 60.00°
Sites, in units of the cell vectors:
Co1 0.500 0.500 0.500
Li1 0.000 0.000 0.000
Li2 0.750 0.750 0.750
Re1 0.250 0.250 0.250

- Polymorph energy (0 for the lowest one): 0.30 eV per formula unit
- Space-group type: F-43m (216)
- DFT formation energy: 0.326 eV per atom
- Crystal system: cubic

---

(17)
Material: Li2CoRe
Method: DFT, GGA-PBEsol
State: relaxed

a = 2.566 Å, b = 4.222 Å, c = 5.189 Å
α = 114.00°, β = 104.31°, γ = 90.00°
Sites, in units of the cell vectors:
Co1 0.000 0.500 0.000
Li1 0.733 0.733 0.466
Li2 0.267 0.267 0.534
Re1 0.500 0.000 0.000

- Polymorph energy (0 for the lowest one): 0.00 eV per formula unit
- Space-group type: Immm (71)
- DFT formation energy: 0.250 eV per atom
- Crystal system: orthorhombic

---

(18)
Material: LiCoRe2Sb
Method: DFT, GGA-PBEsol
State: relaxed

a = 4.377 Å, b = 4.815 Å, c = 4.815 Å
α = 90.00°, β = 90.00°, γ = 90.00°
Each line ends with the local moment (μB).
Sites, in units of the cell vectors:
Re1 0.000 0.000 0.500  0.33
Re2 0.000 0.500 0.000  0.33
Li1 0.500 0.000 0.000  0.00
Co1 0.500 0.500 0.500  2.17
Sb1 0.000 0.000 0.000  0.00

- Uncorrected formation energy: 2284 meV/atom
- Space-group type: P4/mmm (123)
- Crystal system: tetragonal

---

(19)
Material: LiCo2Rh
Method: DFT, GGA-PBEsol
State: relaxed

a = 2.508 Å, b = 3.930 Å, c = 4.833 Å
α = 90.00°, β = 106.38°, γ = 90.00°
Each line ends with the local moment (μB).
Sites, in units of the cell vectors:
Co1 0.711 0.000 0.757  1.70
Co2 0.289 0.000 0.243  1.70
Li1 0.500 0.500 0.000  -0.02
Rh1 0.000 0.500 0.500  0.55

- Space-group type: P2/m (10)
- DFT formation energy: 0.145 eV per atom
- Crystal system: monoclinic

---

(20)
Material: LiCo2Rh
Method: DFT, GGA-PBEsol
State: relaxed

a = 4.724 Å, b = 5.156 Å, c = 5.156 Å
α = 77.89°, β = 62.74°, γ = 62.74°
Each line ends with the local moment (μB).
Sites, in units of the cell vectors:
Co1 0.125 0.000 0.500  1.77
Co2 0.625 0.000 0.500  1.77
Co3 0.375 0.500 0.000  1.77
Co4 0.875 0.500 0.000  1.77
Rh1 0.750 0.500 0.500  0.63
Rh2 0.000 0.000 0.000  0.63
Li1 0.250 0.500 0.500  -0.01
Li2 0.500 0.000 0.000  -0.01

- Space-group type: I-42d (122)
- DFT formation energy: 0.562 eV per atom
- Crystal system: tetragonal

---

(21)
Material: LiCoRh2
Method: DFT, GGA-PBEsol
State: relaxed

a = 2.634 Å, b = 2.634 Å, c = 8.632 Å
α = 81.23°, β = 81.23°, γ = 60.00°
Each line ends with the local moment (μB).
Sites, in units of the cell vectors:
Co1 0.000 0.000 0.000  1.94
Li1 0.500 0.500 0.500  0.00
Rh1 0.253 0.253 0.240  0.46
Rh2 0.747 0.747 0.760  0.46

- Polymorph energy (0 for the lowest one): 0.00 eV per formula unit
- Space-group type: R-3m (166)
- DFT formation energy: 0.006 eV per atom
- Crystal system: trigonal

---

(22)
Material: LiCo2Rh
Method: DFT, GGA-PBEsol
State: relaxed

a = 2.825 Å, b = 2.825 Å, c = 5.668 Å
α = 90.00°, β = 90.00°, γ = 90.00°
Each line ends with the local moment (μB).
Sites, in units of the cell vectors:
Co1 0.000 0.000 0.022  1.91
Co2 0.500 0.500 0.244  1.67
Li1 0.000 0.000 0.489  -0.02
Rh1 0.500 0.500 0.745  0.60

- Space-group type: P4mm (99)
- DFT formation energy: 0.152 eV per atom
- Crystal system: tetragonal

---

(23)
Material: LiCoRh2
Method: DFT, GGA-PBEsol
State: relaxed

a = 2.582 Å, b = 4.107 Å, c = 4.735 Å
α = 90.00°, β = 94.79°, γ = 90.00°
Each line ends with the local moment (μB).
Sites, in units of the cell vectors:
Co1 0.500 0.500 0.000  1.99
Li1 0.000 0.500 0.500  -0.01
Rh1 0.764 0.000 0.744  0.60
Rh2 0.236 0.000 0.256  0.60

- Polymorph energy (0 for the lowest one): 0.44 eV per formula unit
- Space-group type: P2/m (10)
- DFT formation energy: 0.115 eV per atom
- Crystal system: monoclinic

---

(24)
Material: LiCo3Rh
Method: DFT, GGA-PBEsol
State: relaxed

a = 4.503 Å, b = 4.503 Å, c = 4.503 Å
α = 90.00°, β = 90.00°, γ = 90.00°
Each line ends with the local moment (μB).
Sites, in units of the cell vectors:
Co1 0.000 0.500 0.000  2.05
Co2 0.000 0.000 0.500  2.05
Co3 0.500 0.000 0.000  2.05
Rh1 0.000 0.000 0.000  0.87
Li1 0.500 0.500 0.500  -0.01

- Space-group type: Pm-3m (221)
- DFT formation energy: 1.280 eV per atom
- Crystal system: cubic

---

(25)
Material: LiCo2Rh
Method: DFT, GGA-PBEsol
State: relaxed

a = 2.516 Å, b = 2.516 Å, c = 8.628 Å
α = 90.00°, β = 90.00°, γ = 116.47°
Each line ends with the local moment (μB).
Sites, in units of the cell vectors:
Co1 0.000 0.000 0.248  1.77
Co2 0.000 0.000 0.752  1.77
Li1 0.500 0.500 0.500  -0.02
Rh1 0.500 0.500 0.000  0.60

- Space-group type: Cmmm (65)
- DFT formation energy: 0.271 eV per atom
- Crystal system: orthorhombic

---

(26)
Material: LiCoRh2
Method: DFT, GGA-PBEsol
State: relaxed

a = 4.092 Å, b = 4.092 Å, c = 4.092 Å
α = 60.00°, β = 60.00°, γ = 60.00°
Each line ends with the local moment (μB).
Sites, in units of the cell vectors:
Rh1 0.250 0.250 0.250  2.12
Rh2 0.750 0.750 0.750  0.74
Co1 0.500 0.500 0.500  0.74
Li1 0.000 0.000 0.000  0.00

- Polymorph energy (0 for the lowest one): 0.19 eV per formula unit
- Space-group type: Fm-3m (225)
- DFT formation energy: 0.054 eV per atom
- Crystal system: cubic

---

(27)
Material: LiCo2Rh
Method: DFT, GGA-PBEsol
State: relaxed

a = 2.762 Å, b = 3.927 Å, c = 4.164 Å
α = 90.00°, β = 90.00°, γ = 90.00°
Each line ends with the local moment (μB).
Sites, in units of the cell vectors:
Co1 0.000 0.000 0.000  1.76
Co2 0.500 0.500 0.000  1.74
Li1 0.500 0.000 0.500  -0.02
Rh1 0.000 0.500 0.500  0.49

- Space-group type: Pmmm (47)
- DFT formation energy: 0.134 eV per atom
- Crystal system: orthorhombic

---

(28)
Material: LiCoRh2
Method: DFT, GGA-PBEsol
State: relaxed

a = 2.591 Å, b = 2.591 Å, c = 8.614 Å
α = 90.00°, β = 90.00°, γ = 117.22°
Each line ends with the local moment (μB).
Sites, in units of the cell vectors:
Co1 0.500 0.500 0.500  1.99
Li1 0.500 0.500 0.000  0.00
Rh1 0.000 0.000 0.256  0.46
Rh2 0.000 0.000 0.744  0.46

- Polymorph energy (0 for the lowest one): 0.39 eV per formula unit
- Space-group type: Cmmm (65)
- DFT formation energy: 0.104 eV per atom
- Crystal system: orthorhombic

---

(29)
Material: LiCoRu2
Method: DFT, GGA-PBEsol
State: relaxed

a = 2.573 Å, b = 4.422 Å, c = 4.475 Å
α = 98.63°, β = 106.71°, γ = 90.00°
Sites, in units of the cell vectors:
Co1 0.509 0.478 0.018
Li1 0.755 0.272 0.511
Ru1 0.994 0.986 0.988
Ru2 0.242 0.764 0.484

- Polymorph energy (0 for the lowest one): 0.09 eV per formula unit
- Space-group type: Cm (8)
- DFT formation energy: 0.263 eV per atom
- Crystal system: monoclinic

---

(30)
Material: LiCoRu
Method: DFT, GGA-PBEsol
State: relaxed

a = 3.830 Å, b = 3.830 Å, c = 3.830 Å
α = 60.00°, β = 60.00°, γ = 60.00°
Sites, in units of the cell vectors:
Co1 0.000 0.000 0.000
Li1 0.500 0.500 0.500
Ru1 0.250 0.250 0.250

- Space-group type: F-43m (216)
- DFT formation energy: 0.797 eV per atom
- Crystal system: cubic

---

no.,total DFT energy (no corrections) (eV/cell),spin magnetization (Bohr magnetons per cell)
1,-53.4,0.0
2,-13.1,2.7
3,-20.5,2.7
4,-26.7,5.0
5,-24.1,3.4
6,-24.4,3.6
7,-24.6,2.4
8,-24.8,1.5
9,-23.7,3.6
10,-24.6,3.6
11,-24.5,3.7
12,-23.3,0.7
13,-35.6,0.0
14,-21.3,2.9
15,-23.2,0.0
16,-23.7,0.0
17,-24.0,0.0
18,-29.5,2.9
19,-25.0,3.8
20,-46.7,8.3
21,-26.0,2.9
22,-25.0,4.1
23,-25.5,3.1
24,-26.9,6.9
25,-24.5,4.0
26,-25.8,3.6
27,-25.0,3.9
28,-25.6,2.9
29,-29.0,0.0
30,-17.5,0.0